# 1
{"formula": "SmZn2SiPt", "functional": "PBE", "state": "relaxed", "lattice": [[-2.075, 2.090, 5.225], [2.075, -2.090, 5.225], [2.075, 2.090, -5.225]], "species": ["Sm", "Zn", "Zn", "Si", "Pt"], "frac_coords": [[0.000, 0.000, 0.000], [0.615, 0.615, 0.000], [0.753, 0.253, 0.500], [0.385, 0.385, 0.000], [0.264, 0.764, 0.500]], "density_g_cm3": 9.2, "m_tot_mub_per_atom": 0.00, "dos_ef_per_ev_fu": 2.21, "formation_energy_uncorrected_ev_per_atom": -0.677, "spacegroup": "Imm2, No. 44", "volume_a3_per_atom": 18.128}

=====

# 2
{"formula": "Tb2Te2Se", "functional": "PBE", "state": "relaxed", "lattice": [[8.626, 0.000, 0.000], [0.000, 6.235, 0.000], [0.000, 0.000, 12.603]], "species": ["Tb", "Tb", "Tb", "Tb", "Tb", "Tb", "Tb", "Tb", "Te", "Te", "Te", "Te", "Te", "Te", "Te", "Te", "Se", "Se", "Se", "Se"], "frac_coords": [[0.083, 0.250, 0.239], [0.155, 0.250, 0.577], [0.345, 0.750, 0.077], [0.417, 0.750, 0.739], [0.583, 0.250, 0.261], [0.655, 0.250, 0.923], [0.845, 0.750, 0.423], [0.917, 0.750, 0.761], [0.072, 0.750, 0.226], [0.148, 0.750, 0.569], [0.352, 0.250, 0.069], [0.428, 0.250, 0.726], [0.572, 0.750, 0.274], [0.648, 0.750, 0.931], [0.852, 0.250, 0.431], [0.928, 0.250, 0.774], [0.182, 0.750, 0.893], [0.318, 0.250, 0.393], [0.682, 0.750, 0.607], [0.818, 0.250, 0.107]], "density_g_cm3": 6.4, "m_tot_mub_per_atom": 0.00, "formation_energy_uncorrected_ev_per_atom": -1.462, "spacegroup": "Pnma, No. 62", "volume_a3_per_atom": 33.895}

=====

# 3
{"formula": "HoLuAlIn", "functional": "PBE", "state": "relaxed", "lattice": [[0.000, 3.648, 3.648], [3.648, 0.000, 3.648], [3.648, 3.648, 0.000]], "species": ["Ho", "Lu", "Al", "In"], "frac_coords": [[0.000, 0.000, 0.000], [0.500, 0.500, 0.500], [0.750, 0.750, 0.750], [0.250, 0.250, 0.250]], "density_g_cm3": 8.2, "m_tot_mub_per_atom": 0.00, "dos_ef_per_ev_fu": 1.66, "spacegroup": "F-43m, No. 216", "volume_a3_per_atom": 24.282, "ef_kcal_per_mol_atoms": -8.9}

=====

# 4
{"formula": "Ac2TeAu", "functional": "PBE", "state": "relaxed", "lattice": [[2.266, 1.308, 8.164], [-2.266, 1.308, 8.164], [0.000, -2.616, 8.164]], "species": ["Ac", "Ac", "Te", "Au"], "frac_coords": [[0.242, 0.242, 0.242], [0.758, 0.758, 0.758], [0.000, 0.000, 0.000], [0.500, 0.500, 0.500]], "density_g_cm3": 8.9, "m_tot_mub_per_atom": 0.00, "dos_ef_per_ev_fu": 4.28, "formation_energy_uncorrected_ev_per_atom": -1.123, "spacegroup": "R-3m, No. 166", "volume_a3_per_atom": 36.300}

=====

# 5
{"formula": "KBi2Au2", "functional": "PBE", "state": "relaxed", "lattice": [[5.205, 0.000, 0.000], [0.000, 4.885, 0.000], [-0.690, 0.000, 11.566]], "species": ["K", "K", "Bi", "Bi", "Bi", "Bi", "Au", "Au", "Au", "Au"], "frac_coords": [[0.223, 0.250, 0.245], [0.777, 0.750, 0.755], [0.254, 0.750, 0.494], [0.324, 0.250, 0.884], [0.676, 0.750, 0.116], [0.746, 0.250, 0.506], [0.163, 0.750, 0.001], [0.260, 0.250, 0.637], [0.740, 0.750, 0.363], [0.837, 0.250, 0.999]], "density_g_cm3": 9.6, "m_tot_mub_per_atom": 0.00, "dos_ef_per_ev_fu": 2.10, "spacegroup": "P2_1/m, No. 11", "volume_a3_per_atom": 29.406, "ef_kcal_per_mol_atoms": -5.7}

=====

# 6
{"formula": "Pr8Nd5Sc", "functional": "PBE", "state": "relaxed", "lattice": [[-4.949, 4.949, 5.099], [4.949, -4.949, 5.099], [4.949, 4.949, -5.099]], "species": ["Pr", "Pr", "Pr", "Pr", "Pr", "Pr", "Pr", "Pr", "Nd", "Nd", "Nd", "Nd", "Nd", "Sc"], "frac_coords": [[0.079, 0.690, 0.775], [0.170, 0.272, 0.765], [0.310, 0.084, 0.389], [0.507, 0.404, 0.235], [0.596, 0.830, 0.103], [0.695, 0.921, 0.611], [0.728, 0.493, 0.897], [0.916, 0.305, 0.225], [0.229, 0.625, 0.191], [0.375, 0.567, 0.604], [0.433, 0.037, 0.809], [0.750, 0.250, 0.500], [0.963, 0.771, 0.396], [0.000, 0.000, 0.000]], "density_g_cm3": 6.3, "m_tot_mub_per_atom": 0.00, "dos_ef_per_ev_fu": 21.59, "spacegroup": "I-4, No. 82", "volume_a3_per_atom": 35.688, "ef_kcal_per_mol_atoms": 5.5}